1.
PrIn4Br7: relaxed, PBE-GGA.

Its density of states at the Fermi level is 0.0000 states/eV per atom. The value obtained for the final energy is -3.312 eV per atom.

It has space group C2/m (No. 12), with a = 21.493 Å, b = 5.704 Å, c = 7.906 Å, α = 90.00°, β = 107.04° and γ = 90.00°. The asymmetric unit holds Pr at (0.000, 0.000, 0.000), In at (0.083, 0.500, 0.633), In at (0.201, 0.500, 0.251), Br at (0.000, 0.500, 0.000), Br at (0.082, 0.000, 0.364), Br at (0.117, 0.000, 0.884) and Br at (0.223, 0.500, 0.654).

***

2.
Pr5In4Br: relaxed, PBE-GGA.

Its density of states at the Fermi level is 0.7342 states/eV per atom. The value obtained for the final energy is -4.266 eV per atom.

It has space group P4/mmm (No. 123), with a = 3.652 Å, b = 3.652 Å, c = 21.979 Å, α = 90.00°, β = 90.00° and γ = 90.00°. The asymmetric unit holds Pr at (0.000, 0.000, 0.000), Pr at (0.000, 0.000, 0.200), Pr at (0.000, 0.000, 0.396), In at (0.500, 0.500, 0.100), In at (0.500, 0.500, 0.302) and Br at (0.500, 0.500, 0.500).

***

3.
Pr7InBr12: relaxed, PBE-GGA.

Its density of states at the Fermi level is 0.4928 states/eV per atom. The value obtained for the final energy is -4.343 eV per atom.

It has space group R-3 (No. 148, hexagonal axes), with a = 17.0145 Å, b = 17.0145 Å, c = 8.0621 Å, α = 90.00°, β = 90.00° and γ = 120.00°. The asymmetric unit holds Pr at (0.0000, 0.0000, 0.0000), Pr at (0.0491, 0.8724, 0.2758), In at (0.0000, 0.0000, 0.5000), Br at (0.0490, 0.4518, 0.1571) and Br at (0.0538, 0.8603, 0.8769).

***

4.
Pr2InBr3: relaxed, PBE-GGA.

Its density of states at the Fermi level is 0.4260 states/eV per atom. The value obtained for the final energy is -4.136 eV per atom.

It has space group C2/m (No. 12), with a = 20.346 Å, b = 4.195 Å, c = 14.435 Å, α = 90.00°, β = 131.06° and γ = 90.00°. The asymmetric unit holds Pr at (0.116, 0.000, 0.438), Pr at (0.129, 0.500, 0.833), In at (0.075, 0.000, 0.626), Br at (0.048, 0.500, 0.240), Br at (0.175, 0.000, 0.023) and Br at (0.247, 0.500, 0.608).

***

5.
Pr4InBr5: relaxed, PBE-GGA.

Its density of states at the Fermi level is 0.5388 states/eV per atom. The value obtained for the final energy is -4.366 eV per atom.

It has space group C2/m (No. 12), with a = 18.779 Å, b = 4.257 Å, c = 9.035 Å, α = 90.00°, β = 101.06° and γ = 90.00°. The asymmetric unit holds Pr at (0.004, 0.000, 0.245), Pr at (0.165, 0.500, 0.068), In at (0.000, 0.500, 0.000), Br at (0.000, 0.500, 0.500), Br at (0.167, 0.000, 0.820) and Br at (0.169, 0.000, 0.312).

***

6.
Pr3InBr: relaxed, PBE-GGA.

Its density of states at the Fermi level is 0.8868 states/eV per atom. The value obtained for the final energy is -4.295 eV per atom.

It has space group P2_1/c (No. 14), with a = 10.089 Å, b = 6.420 Å, c = 11.196 Å, α = 90.00°, β = 120.28° and γ = 90.00°. The asymmetric unit holds Pr at (0.106, 0.034, 0.328), Pr at (0.272, 0.558, 0.544), Pr at (0.348, 0.110, 0.786), In at (0.474, 0.647, 0.893) and Br at (0.043, 0.248, 0.550).

***

7.
Pr4In2Br5: relaxed, PBE-GGA.

Its density of states at the Fermi level is 0.7597 states/eV per atom. The value obtained for the final energy is -4.175 eV per atom.

It has space group C2/m (No. 12), with a = 25.433 Å, b = 3.951 Å, c = 9.136 Å, α = 90.00°, β = 101.71° and γ = 90.00°. The asymmetric unit holds Pr at (0.020, 0.000, 0.270), Pr at (0.166, 0.500, 0.452), In at (0.058, 0.500, 0.567), Br at (0.000, 0.500, 0.000), Br at (0.133, 0.000, 0.204) and Br at (0.228, 0.000, 0.672).

***

8.
Rb2PrInBr6: relaxed, PBE-GGA.

Its density of states at the Fermi level is 0.0000 states/eV per atom. The value obtained for the final energy is -3.562 eV per atom.

It has space group P2_1/c (No. 14), with a = 8.129 Å, b = 8.668 Å, c = 14.116 Å, α = 90.00°, β = 123.98° and γ = 90.00°. The asymmetric unit holds Rb at (0.216, 0.078, 0.246), Pr at (0.500, 0.000, 0.000), In at (0.000, 0.000, 0.500), Br at (0.154, 0.182, 0.945), Br at (0.260, 0.717, 0.934) and Br at (0.385, 0.044, 0.765).

***

9.
PrInSnBr6: relaxed, PBE-GGA.

Its density of states at the Fermi level is 0.0000 states/eV per atom. The value obtained for the final energy is -3.613 eV per atom.

It has space group P4_2nm (No. 102), with a = 7.272 Å, b = 7.272 Å, c = 13.659 Å, α = 90.00°, β = 90.00° and γ = 90.00°. The asymmetric unit holds Pr at (0.000, 0.000, 0.000), In at (0.000, 0.000, 0.667), Sn at (0.000, 0.000, 0.334), Br at (0.182, 0.182, 0.168), Br at (0.205, 0.205, 0.850) and Br at (0.216, 0.216, 0.489).

***

10.
Pr4InTe2Br: relaxed, PBE-GGA.

Its density of states at the Fermi level is 0.6118 states/eV per atom. The value obtained for the final energy is -4.852 eV per atom.

It has space group P2/m (No. 10), with a = 7.778 Å, b = 4.503 Å, c = 7.819 Å, α = 90.00°, β = 109.24° and γ = 90.00°. The asymmetric unit holds Pr at (0.240, 0.000, 0.249), Pr at (0.245, 0.500, 0.746), In at (0.000, 0.000, 0.500), Te at (0.000, 0.500, 0.000), Te at (0.500, 0.000, 0.000) and Br at (0.500, 0.500, 0.500).

***

11.
PrTlIn2Br6: relaxed, PBE-GGA.

Its density of states at the Fermi level is 0.0000 states/eV per atom. The value obtained for the final energy is -3.459 eV per atom.

It has space group P1 (No. 1), with a = 8.213 Å, b = 8.221 Å, c = 8.535 Å, α = 90.02°, β = 118.76° and γ = 119.96°. The asymmetric unit holds Pr at (0.000, 0.000, 0.000), Tl at (0.981, 0.491, 0.472), In at (0.388, 0.694, 0.082), In at (0.403, 0.201, 0.603), Br at (0.138, 0.254, 0.789), Br at (0.173, 0.363, 0.269), Br at (0.459, 0.096, 0.268), Br at (0.535, 0.884, 0.789), Br at (0.905, 0.651, 0.789) and Br at (0.906, 0.810, 0.269).

***

12.
PrTl2InBr6: relaxed, PBE-GGA.

Its density of states at the Fermi level is 0.0000 states/eV per atom. The value obtained for the final energy is -3.465 eV per atom.

It has space group P1 (No. 1), with a = 8.229 Å, b = 8.235 Å, c = 8.536 Å, α = 61.20°, β = 61.18° and γ = 60.03°. The asymmetric unit holds Pr at (0.000, 0.000, 0.000), Tl at (0.205, 0.205, 0.384), Tl at (0.697, 0.696, 0.910), In at (0.492, 0.491, 0.526), Br at (0.107, 0.356, 0.736), Br at (0.252, 0.878, 0.216), Br at (0.356, 0.801, 0.735), Br at (0.655, 0.252, 0.216), Br at (0.800, 0.107, 0.736) and Br at (0.878, 0.655, 0.216).

***

13.
In3PtBr: relaxed, PBE-GGA.

The energy above the lowest structure with this stoichiometry comes out at 0.000 eV per atom. Its density of states at the Fermi level is 0.0339 states/eV per atom. The value obtained for the final energy is -3.718 eV per atom.

It has space group Pm-3m (No. 221), with a = 5.244 Å, b = 5.244 Å, c = 5.244 Å, α = 90.00°, β = 90.00° and γ = 90.00°. The asymmetric unit holds In at (0.000, 0.000, 0.500), Pt at (0.000, 0.000, 0.000) and Br at (0.500, 0.500, 0.500).

***

14.
InPtBr6: relaxed, PBE-GGA.

Its density of states at the Fermi level is 0.3633 states/eV per atom. The value obtained for the final energy is -2.771 eV per atom.

It has space group C2/m (No. 12), with a = 6.703 Å, b = 12.122 Å, c = 6.712 Å, α = 90.00°, β = 108.82° and γ = 90.00°. The asymmetric unit holds In at (0.000, 0.000, 0.000), Pt at (0.000, 0.500, 0.500), Br at (0.224, 0.354, 0.725) and Br at (0.246, 0.000, 0.754).

***

15.
In2PtBr: relaxed, PBE-GGA.

The energy above the lowest structure with this stoichiometry comes out at 0.127 eV per atom. Its density of states at the Fermi level is 0.3644 states/eV per atom. The value obtained for the final energy is -3.590 eV per atom.

It has space group Pm (No. 6), with a = 4.121 Å, b = 5.276 Å, c = 5.277 Å, α = 90.00°, β = 90.13° and γ = 90.00°. The asymmetric unit holds In at (0.000, 0.000, 0.000), In at (0.004, 0.500, 0.500), Pt at (0.001, 0.500, 0.000) and Br at (0.502, 0.000, 0.500).

***

16.
InPt3Br: relaxed, PBE-GGA.

The energy above the lowest structure with this stoichiometry comes out at 0.225 eV per atom. Its density of states at the Fermi level is 0.1273 states/eV per atom. The value obtained for the final energy is -3.366 eV per atom.

It has space group Pm-3m (No. 221), with a = 5.023 Å, b = 5.023 Å, c = 5.023 Å, α = 90.00°, β = 90.00° and γ = 90.00°. The asymmetric unit holds In at (0.000, 0.000, 0.000), Pt at (0.000, 0.000, 0.500) and Br at (0.500, 0.500, 0.500).

***

17.
In3PtBr: relaxed, PBE-GGA.

The energy above the lowest structure with this stoichiometry comes out at 1.251 eV per atom. Its density of states at the Fermi level is 0.1668 states/eV per atom. The value obtained for the final energy is -2.466 eV per atom.

It has space group Pm-3m (No. 221), with a = 5.752 Å, b = 5.752 Å, c = 5.752 Å, α = 90.00°, β = 90.00° and γ = 90.00°. The asymmetric unit holds In at (0.000, 0.000, 0.500), Pt at (0.500, 0.500, 0.500) and Br at (0.000, 0.000, 0.000).

***

18.
In2Pt2Br: relaxed, PBE-GGA.

Its density of states at the Fermi level is 0.6461 states/eV per atom. The value obtained for the final energy is -4.090 eV per atom.

It has space group P4/mbm (No. 127), with a = 7.927 Å, b = 7.927 Å, c = 3.231 Å, α = 90.00°, β = 90.00° and γ = 90.00°. The asymmetric unit holds In at (0.165, 0.335, 0.000), Pt at (0.131, 0.631, 0.500) and Br at (0.000, 0.000, 0.500).

***

19.
In2PtBr: relaxed, PBE-GGA.

The energy above the lowest structure with this stoichiometry comes out at 0.000 eV per atom. Its density of states at the Fermi level is 0.3488 states/eV per atom. The value obtained for the final energy is -3.718 eV per atom.

It has space group R-3m (No. 166, hexagonal axes), with a = 3.9341 Å, b = 3.9341 Å, c = 22.6991 Å, α = 90.00°, β = 90.00° and γ = 120.00°. The asymmetric unit holds In at (0.0000, 0.0000, 0.2334), Pt at (0.0000, 0.0000, 0.5000) and Br at (0.0000, 0.0000, 0.0000).

***

20.
In2PtBr: relaxed, PBE-GGA.

The energy above the lowest structure with this stoichiometry comes out at 0.445 eV per atom. Its density of states at the Fermi level is 1.0717 states/eV per atom. The value obtained for the final energy is -3.273 eV per atom.

It has space group Fm-3m (No. 225), with a = 7.232 Å, b = 7.232 Å, c = 7.232 Å, α = 90.00°, β = 90.00° and γ = 90.00°. The asymmetric unit holds In at (0.250, 0.250, 0.250), Pt at (0.000, 0.000, 0.000) and Br at (0.000, 0.000, 0.500).